CaHo2HgAu4: relaxed, PBE.

- DFT formation energy: -5.8 eV per formula unit
- Total magnetic moment: 0.00 μB per cell

a b c (Å): 5.0059 5.0059 24.6145
angles (deg): 90.00 90.00 120.00
Last column: nearest neighbours and their distance in Å.
Space group R-3m (No. 166, hexagonal axes)
Symmetry-distinct sites (fractional):
1 Ca 0.0000 0.0000 0.0000 (multiplicity 3)  8 Au 2.97-3.02
2 Ho 0.0000 0.0000 0.2425 (multiplicity 6)  8 Au 2.98-3.19
3 Hg 0.0000 0.0000 0.5000 (multiplicity 3)  8 Au 3.11-3.22, 6 Ho 3.44
4 Au 0.0000 0.0000 0.1205 (multiplicity 6)  1 Ca 2.97, 4 Ho 2.98-3.00, 3 Hg 3.11
5 Au 0.0000 0.0000 0.3692 (multiplicity 6)  3 Ca 3.02, 4 Ho 3.12-3.19, 1 Hg 3.22